(1)
# AcSn2Hg4 (PBE-GGA, relaxed)
data_AcSn2Hg4
_chemical_formula_sum 'Ac2 Sn4 Hg8'
_cell_length_a 5.677
_cell_length_b 15.038
_cell_length_c 4.702
_cell_angle_alpha 90.00
_cell_angle_beta 90.00
_cell_angle_gamma 90.00
_space_group_name_H-M_alt 'C m m m'
_space_group_IT_number 65
_space_group_name_Hall '-C 2 2'
loop_
_atom_site_label
_atom_site_type_symbol
_atom_site_fract_x
_atom_site_fract_y
_atom_site_fract_z
Ac1 Ac 0.000 0.000 0.000
Sn1 Sn 0.000 0.404 0.500
Hg1 Hg 0.000 0.162 0.500
Hg2 Hg 0.000 0.288 0.000
# mass density	10481	kg/m3
# DOS(E_F)	5.324	states/eV per cell
# formation energy	-0.164	eV per atom
# relative energy among the computed polymorphs	69.6	meV per atom
# total moment	0.00	μB/atom

=====

(2)
# Pr4SmAu4 (PBE-GGA, relaxed)
data_Pr4SmAu4
_chemical_formula_sum 'Pr8 Sm2 Au8'
_cell_length_a 9.347
_cell_length_b 9.347
_cell_length_c 6.261
_cell_angle_alpha 90.00
_cell_angle_beta 90.00
_cell_angle_gamma 90.00
_space_group_name_H-M_alt 'P 42/n'
_space_group_IT_number 86
loop_
_space_group_symop_operation_xyz
'x,y,z'
'-x,-y,-z'
'-y,x+1/2,z+1/2'
'y,-x+1/2,-z+1/2'
'-x+1/2,-y+1/2,z'
'x+1/2,y+1/2,-z'
'y+1/2,-x,z+1/2'
'-y+1/2,x,-z+1/2'
loop_
_atom_site_label
_atom_site_type_symbol
_atom_site_fract_x
_atom_site_fract_y
_atom_site_fract_z
Pr1 Pr 0.054 0.661 0.158
Sm1 Sm 0.250 0.250 0.250
Au1 Au 0.030 0.635 0.647
# mass density	9117	kg/m3
# DOS(E_F)	19.087	states/eV per cell
# formation energy	-0.558	eV per atom
# total moment	0.00	μB/atom

=====

(3)
# TbPmDy2Tl2 (PBE-GGA, relaxed)
data_TbPmDy2Tl2
_chemical_formula_sum 'Tb2 Pm2 Dy4 Tl4'
_cell_length_a 5.147
_cell_length_b 10.064
_cell_length_c 6.828
_cell_angle_alpha 90.00
_cell_angle_beta 90.00
_cell_angle_gamma 90.00
_space_group_name_H-M_alt 'P m c 21'
_space_group_IT_number 26
_space_group_name_Hall 'P 2c -2'
loop_
_atom_site_label
_atom_site_type_symbol
_atom_site_fract_x
_atom_site_fract_y
_atom_site_fract_z
Tb1 Tb 0.000 0.189 0.000
Pm1 Pm 0.500 0.042 0.277
Dy1 Dy 0.000 0.457 0.367
Dy2 Dy 0.500 0.317 0.650
Tl1 Tl 0.000 0.138 0.536
Tl2 Tl 0.500 0.367 0.114
# mass density	9743	kg/m3
# DOS(E_F)	12.330	states/eV per cell
# formation energy	-0.271	eV per atom
# total moment	0.00	μB/atom

=====

(4)
# Ag4Br (PBE-GGA, relaxed)
data_Ag4Br
_chemical_formula_sum 'Ag8 Br2'
_cell_length_a 6.338
_cell_length_b 6.338
_cell_length_c 6.338
_cell_angle_alpha 90.00
_cell_angle_beta 90.00
_cell_angle_gamma 90.00
_space_group_name_H-M_alt 'I m -3 m'
_space_group_IT_number 229
_space_group_name_Hall '-I 4 2 3'
loop_
_atom_site_label
_atom_site_type_symbol
_atom_site_fract_x
_atom_site_fract_y
_atom_site_fract_z
Ag1 Ag 0.250 0.250 0.250
Br1 Br 0.000 0.000 0.000
# mass density	6672	kg/m3
# DOS(E_F)	7.771	states/eV per cell
# relative energy among the computed polymorphs	522.8	meV per atom
# E_form (uncorrected)	636	meV per atom
# total moment	0.00	μB/atom

=====

(5)
# MnCuS2 (PBE-GGA, relaxed)
data_MnCuS2
_chemical_formula_sum 'Mn2 Cu2 S4'
_cell_length_a 6.153
_cell_length_b 3.194
_cell_length_c 6.724
_cell_angle_alpha 90.00
_cell_angle_beta 95.94
_cell_angle_gamma 90.00
_space_group_name_H-M_alt 'P 1 m 1'
_space_group_IT_number 6
_space_group_name_Hall 'P -2y'
loop_
_atom_site_label
_atom_site_type_symbol
_atom_site_fract_x
_atom_site_fract_y
_atom_site_fract_z
Mn1 Mn 0.000 0.000 0.000
Mn2 Mn 0.099 0.500 0.312
Cu1 Cu 0.119 0.500 0.700
Cu2 Cu 0.662 0.000 0.564
S1 S 0.271 0.500 0.043
S2 S 0.292 0.000 0.510
S3 S 0.780 0.500 0.815
S4 S 0.841 0.000 0.282
# mass density	4614	kg/m3
# DOS(E_F)	3.616	states/eV per cell
# E_form (uncorrected)	-349	meV per atom
# total moment	0.26	μB/atom

=====

(6)
# BeOsRu (PBE-GGA, relaxed)
data_BeOsRu
_chemical_formula_sum 'Be2 Os2 Ru2'
_cell_length_a 4.2437
_cell_length_b 4.2437
_cell_length_c 5.2056
_cell_angle_alpha 90.00
_cell_angle_beta 90.00
_cell_angle_gamma 120.00
_space_group_name_H-M_alt 'P 63/m m c'
_space_group_IT_number 194
_space_group_name_Hall '-P 6c 2c'
loop_
_atom_site_label
_atom_site_type_symbol
_atom_site_fract_x
_atom_site_fract_y
_atom_site_fract_z
Be1 Be 0.0000 0.0000 0.0000
Os1 Os 0.3333 0.6667 0.2500
Ru1 Ru 0.3333 0.6667 0.7500
# mass density	12285	kg/m3
# DOS(E_F)	5.166	states/eV per cell
# formation energy	0.432	eV per atom
# total moment	0.00	μB/atom

=====

Q: Which value of mass density does entry 5 give?
A: 4614 kg/m3